# La2TlRh

A relaxed La2TlRh crystal (PBE, Alexandria via LeMat-Bulk).

Unit cell a=4.1157 b=4.1157 c=8.7213 alpha=76.32 beta=76.32 gamma=60.02
Positions (direct):
1 La 0.0180 0.0180 0.9465
2 La 0.4820 0.4820 0.5535
3 Tl 0.2500 0.2500 0.2500
4 Rh 0.7500 0.7500 0.7500

Properties
Magnetization (μB per cell): 0.00
ρ (g/cm³): 7.9
Energy above the most stable polymorph in this dataset (meV/atom): 46
Formation energy (eV per atom): -0.562

=====

# LaTlRh2

A relaxed LaTlRh2 crystal (PBE, Alexandria via LeMat-Bulk).

Unit cell a=4.4133 b=5.5355 c=7.2358 alpha=90.00 beta=90.00 gamma=90.00
Positions (direct):
1 Rh 0.0000 0.2500 0.1307
2 Rh 0.5000 0.5000 0.0000
3 Rh 0.5000 0.0000 0.0000
4 Rh 0.0000 0.7500 0.8693
5 Tl 0.5000 0.2500 0.3643
6 Tl 0.5000 0.7500 0.6357
7 La 0.0000 0.7500 0.2563
8 La 0.0000 0.2500 0.7437

Properties
Magnetization (μB per cell): 0.00
ρ (g/cm³): 10.3
Formation energy (eV per atom): -0.506

=====

# LaTlRh2

A relaxed LaTlRh2 crystal (PBE, Alexandria via LeMat-Bulk).

Unit cell a=6.0738 b=6.0738 c=6.0738 alpha=42.79 beta=42.79 gamma=42.79
Positions (direct):
1 Rh 0.7138 0.7138 0.7138
2 Rh 0.0469 0.0469 0.0469
3 La 0.2694 0.2694 0.2694
4 Tl 0.4699 0.4699 0.4699

Properties
Magnetization (μB per cell): 0.00
ρ (g/cm³): 9.7
Formation energy (eV per atom): -0.369

=====

# LaTlRh2

A relaxed LaTlRh2 crystal (PBE, Alexandria via LeMat-Bulk).

Unit cell a=3.8873 b=3.8873 c=5.6558 alpha=90.00 beta=90.00 gamma=90.00
Positions (direct):
1 Rh 0.0000 0.0000 0.9601
2 Rh 0.5000 0.5000 0.2847
3 La 0.5000 0.5000 0.8112
4 Tl 0.0000 0.0000 0.4440

Properties
Magnetization (μB per cell): 0.00
ρ (g/cm³): 10.7
Formation energy (eV per atom): -0.292

=====

# LaTl2Rh

A relaxed LaTl2Rh crystal (PBE, Alexandria via LeMat-Bulk).

Unit cell a=6.7449 b=6.7449 c=4.0974 alpha=72.46 beta=72.46 gamma=127.50
Positions (direct):
1 La 0.0000 0.0000 0.5000
2 Tl 0.0000 0.5000 0.0000
3 Tl 0.5000 0.0000 0.0000
4 Rh 0.5000 0.5000 0.5000

Properties
Magnetization (μB per cell): 0.00
ρ (g/cm³): 10.0
Formation energy (eV per atom): -0.081

=====

# LaTl4Rh

A relaxed LaTl4Rh crystal (PBE, Alexandria via LeMat-Bulk).

Unit cell a=6.1427 b=6.1427 c=6.1427 alpha=60.00 beta=60.00 gamma=60.00
Positions (direct):
1 Tl 0.3743 0.3743 0.3743
2 Tl 0.3743 0.3743 0.8772
3 Tl 0.3743 0.8772 0.3743
4 Tl 0.8772 0.3743 0.3743
5 La 0.7500 0.7500 0.7500
6 Rh 0.0000 0.0000 0.0000

Properties
Magnetization (μB per cell): 0.00
ρ (g/cm³): 10.7
Formation energy (eV per atom): 0.257